(1)
# La3CoPb | OQMD via LeMat-Bulk | PBE | optimized geometry
data_La3CoPb
_space_group_name_H-M_alt 'P 4 m m'
_space_group_IT_number 99
_space_group_name_Hall 'P 4 -2'
_cell_length_a 5.329
_cell_length_b 5.329
_cell_length_c 5.332
_cell_angle_alpha 90.00
_cell_angle_beta 90.00
_cell_angle_gamma 90.00
loop_
_atom_site_label
_atom_site_type_symbol
_atom_site_fract_x
_atom_site_fract_y
_atom_site_fract_z
La1 La 0.000 0.000 0.000
La2 La 0.000 0.500 0.499
Co1 Co 0.000 0.000 0.502
Pb1 Pb 0.500 0.500 0.998
# VASP energy: -5.51 eV per atom

=====

(2)
# GdSiAsO | OQMD via LeMat-Bulk | PBE | optimized geometry
data_GdSiAsO
_space_group_name_H-M_alt 'P m c 21'
_space_group_IT_number 26
_space_group_name_Hall 'P 2c -2'
_cell_length_a 3.941
_cell_length_b 5.828
_cell_length_c 6.158
_cell_angle_alpha 90.00
_cell_angle_beta 90.00
_cell_angle_gamma 90.00
loop_
_atom_site_label
_atom_site_type_symbol
_atom_site_fract_x
_atom_site_fract_y
_atom_site_fract_z
Gd1 Gd 0.000 0.241 0.000
Si1 Si 0.500 0.363 0.380
As1 As 0.500 0.088 0.682
O1 O 0.000 0.398 0.345
# VASP energy: -6.23 eV per atom
# Relative energy among the computed polymorphs: 0.170 eV per atom

=====

(3)
# Cu2Ag | OQMD via LeMat-Bulk | PBE | optimized geometry
data_Cu2Ag
_space_group_name_H-M_alt 'C 1 m 1'
_space_group_IT_number 8
_space_group_name_Hall 'C -2y'
_cell_length_a 13.733
_cell_length_b 2.778
_cell_length_c 7.735
_cell_angle_alpha 90.00
_cell_angle_beta 121.71
_cell_angle_gamma 90.00
loop_
_atom_site_label
_atom_site_type_symbol
_atom_site_fract_x
_atom_site_fract_y
_atom_site_fract_z
Cu1 Cu 0.000 0.000 0.000
Cu2 Cu 0.038 0.500 0.307
Cu3 Cu 0.095 0.000 0.633
Cu4 Cu 0.151 0.500 0.973
Cu5 Cu 0.207 0.000 0.283
Cu6 Cu 0.377 0.500 0.314
Ag1 Ag 0.253 0.500 0.615
Ag2 Ag 0.322 0.000 0.981
Ag3 Ag 0.439 0.000 0.653
# E_form: 0.10 eV per atom
# VASP energy: -3.32 eV per atom
# Relative energy among the computed polymorphs: 0.054 eV per atom

=====

(4)
# CoRe2Sn | OQMD via LeMat-Bulk | PBE | optimized geometry
data_CoRe2Sn
_space_group_name_H-M_alt 'F -4 3 m'
_space_group_IT_number 216
_space_group_name_Hall 'F -4 2 3'
_cell_length_a 6.219
_cell_length_b 6.219
_cell_length_c 6.219
_cell_angle_alpha 90.00
_cell_angle_beta 90.00
_cell_angle_gamma 90.00
loop_
_atom_site_label
_atom_site_type_symbol
_atom_site_fract_x
_atom_site_fract_y
_atom_site_fract_z
Co1 Co 0.000 0.000 0.000
Re1 Re 0.000 0.000 0.500
Re2 Re 0.250 0.250 0.250
Sn1 Sn 0.250 0.250 0.750
# VASP energy: -8.56 eV per atom

=====

Which value of VASP energy does entry 4 give? -8.56 eV per atom

=====

The lowest VASP energy belongs to which entry? CoRe2Sn

=====

Which of these has the highest VASP energy? Cu2Ag